Material: Al5Ni
Method: DFT, PBE
State: relaxed

Calculated values
Crystal system   orthorhombic
Electronic total energy   -25.143 eV for the cell shown
M_tot   0.00 μB per atom
D(E_F)   3.50 states/eV per cell
Density   3.5 g cm⁻³

Lattice parameters (Å, degrees): 7.265 7.265 4.390 90.00 90.00 156.92
Fractional coordinates of all 6 atoms:
Al (0.341, 0.659, 0.000)
Al (0.665, 0.335, 0.000)
Al (0.233, 0.767, 0.500)
Al (0.541, 0.459, 0.500)
Al (0.998, 0.002, 0.000)
Ni (0.890, 0.110, 0.500)

***

Material: YGaCu2Au4
Method: DFT, PBE
State: relaxed

Calculated values
Crystal system   trigonal
Electronic total energy   -33.272 eV for the cell shown
M_tot   0.00 μB per atom
D(E_F)   1.46 states/eV per cell
Density   12.5 g cm⁻³

Lattice parameters (Å, degrees): 4.691 4.691 7.936 72.81 72.81 60.00
Fractional coordinates of all 8 atoms:
Y (0.000, 0.000, 0.000)
Au (0.134, 0.134, 0.598)
Au (0.614, 0.614, 0.158)
Au (0.866, 0.866, 0.402)
Au (0.386, 0.386, 0.842)
Cu (0.741, 0.741, 0.776)
Cu (0.259, 0.259, 0.224)
Ga (0.500, 0.500, 0.500)

***

Material: SiSnO3
Method: DFT, PBE
State: relaxed

Calculated values
Crystal system   cubic
Electronic total energy   -28.015 eV for the cell shown
M_tot   0.00 μB per atom
D(E_F)   0.00 states/eV per cell
Density   5.0 g cm⁻³
Formation energy without anion corrections   -743 meV/atom

Lattice parameters (Å, degrees): 4.005 4.005 4.005 90.00 90.00 90.00
Fractional coordinates of all 5 atoms:
O (0.000, 0.000, 0.500)
O (0.000, 0.500, 0.000)
O (0.500, 0.000, 0.000)
Si (0.500, 0.500, 0.500)
Sn (0.000, 0.000, 0.000)

***

Material: MnSn3N
Method: DFT, PBE
State: relaxed

Calculated values
Crystal system   cubic
Electronic total energy   -24.529 eV for the cell shown
M_tot   0.40 μB per atom
D(E_F)   7.89 states/eV per cell
Density   5.6 g cm⁻³
Formation energy without anion corrections   995 meV/atom

Lattice parameters (Å, degrees): 5.020 5.020 5.020 90.00 90.00 90.00
Fractional coordinates of all 5 atoms:
Mn (0.000, 0.000, 0.000)
Sn (0.000, 0.000, 0.500)
Sn (0.000, 0.500, 0.000)
Sn (0.500, 0.000, 0.000)
N (0.500, 0.500, 0.500)

***

Material: Ti2CuIrPb
Method: DFT, PBE
State: relaxed

Calculated values
Crystal system   tetragonal
Electronic total energy   -24.594 eV for the cell shown
M_tot   0.00 μB per atom
D(E_F)   9.65 states/eV per cell
Density   7.9 g cm⁻³

Lattice parameters (Å, degrees): 5.058 4.579 5.058 90.00 90.00 90.00
Fractional coordinates of all 5 atoms:
Ti (0.500, 0.000, 0.000)
Ti (0.000, 0.000, 0.500)
Ir (0.500, 0.500, 0.500)
Cu (0.000, 0.500, 0.000)
Pb (0.000, 0.000, 0.000)

***

Material: DyHo7Hg4
Method: DFT, PBE
State: relaxed

Calculated values
Crystal system   monoclinic
Electronic total energy   -38.986 eV for the cell shown
M_tot   0.00 μB per atom
D(E_F)   12.52 states/eV per cell
Density   10.4 g cm⁻³

Lattice parameters (Å, degrees): 5.658 8.935 7.802 70.50 68.74 71.54
Fractional coordinates of all 12 atoms:
Ho (0.267, 0.685, 0.781)
Ho (0.933, 0.406, 0.728)
Ho (0.733, 0.315, 0.219)
Ho (0.067, 0.594, 0.272)
Ho (0.792, 0.884, 0.532)
Ho (0.208, 0.116, 0.468)
Ho (0.500, 0.000, 0.000)
Hg (0.311, 0.339, 0.038)
Hg (0.547, 0.274, 0.632)
Hg (0.689, 0.661, 0.962)
Hg (0.453, 0.726, 0.368)
Dy (0.000, 0.000, 0.000)

***

Material: RbGeSb
Method: DFT, PBE
State: relaxed

Calculated values
Crystal system   triclinic
Electronic total energy   -20.281 eV for the cell shown
M_tot   0.00 μB per atom
D(E_F)   0.28 states/eV per cell
Density   4.4 g cm⁻³
Formation energy without anion corrections   -144 meV/atom

Lattice parameters (Å, degrees): 4.166 6.444 8.520 79.03 90.37 71.68
Fractional coordinates of all 6 atoms:
Ge (0.096, 0.827, 0.192)
Ge (0.874, 0.275, 0.218)
Rb (0.880, 0.271, 0.817)
Rb (0.091, 0.831, 0.593)
Sb (0.345, 0.340, 0.412)
Sb (0.625, 0.762, 0.998)

***

Material: Tb2PrPt2
Method: DFT, PBE
State: relaxed

Calculated values
Crystal system   monoclinic
Electronic total energy   -30.512 eV for the cell shown
M_tot   0.00 μB per atom
D(E_F)   5.38 states/eV per cell
Density   10.8 g cm⁻³

Lattice parameters (Å, degrees): 4.726 4.726 6.806 110.98 110.98 89.95
Fractional coordinates of all 5 atoms:
Tb (0.751, 0.249, 0.500)
Tb (0.249, 0.751, 0.500)
Pr (0.000, 0.000, 0.000)
Pt (0.609, 0.609, 0.226)
Pt (0.391, 0.391, 0.774)

***

Q: What is the electronic total energy in the third record?
A: -28.015 eV for the cell shown